DFT (PBE) results for a relaxed structure of ZrHgPb2.

V in Å³/cell: 104
Formation energy in eV per atom: -0.0273

Lattice parameters (Å, degrees): 3.4978 5.0292 6.1687 90.00 106.24 90.00
Closest atoms and distances in Å follow each position.
Space group Pm (No. 6)
Symmetry-distinct sites (fractional):
Zr1 0.0000 0.0000 0.0000 [1 per cell]  2 Hg 3.09, 7 Pb 3.18-3.26
Hg1 0.1520 0.5000 0.3030 [1 per cell]  2 Zr 3.09, 7 Pb 3.20-3.22
Pb1 0.4255 0.5000 0.8463 [1 per cell]  4 Zr 3.19-3.20, 3 Hg 3.22, 2 Pb 3.50
Pb2 0.7296 0.0000 0.4635 [1 per cell]  3 Zr 3.18-3.26, 4 Hg 3.20-3.21, 2 Pb 3.50